[1]
InSiAu2 | GGA-PBE | optimized geometry

The value obtained for the uncorrected energy is -3.525 eV per atom.

abc: 4.546 4.546 3.723
angles: 90.00 90.00 90.00
Sites, in units of the cell vectors:
In: 0.000 0.000 0.000
Si: 0.500 0.500 0.000
Au: 0.000 0.500 0.500
Au: 0.500 0.000 0.500

[2]
BaEuZnAg | GGA-PBE | optimized geometry

As for the formation energy: -0.1957 eV per atom.

abc: 5.609 5.609 5.609
angles: 60.00 60.00 60.00
Sites, in units of the cell vectors:
Ba: 0.000 0.000 0.000
Eu: 0.500 0.500 0.500
Zn: 0.750 0.750 0.750
Ag: 0.250 0.250 0.250

[3]
AlWAu2 | GGA-PBE | optimized geometry

As for the formation energy: 0.1177 eV per atom.

abc: 2.847 4.210 5.740
angles: 90.00 104.34 90.00
Sites, in units of the cell vectors:
Al: 0.000 0.000 0.000
W: 0.397 0.500 0.796
Au: 0.134 0.500 0.272
Au: 0.763 0.000 0.528

[4]
Ti6GaBi3 | GGA-PBE | optimized geometry

As for the formation energy: -0.0463 eV per atom.

abc: 8.136 8.136 7.122
angles: 90.00 90.00 116.97
Sites, in units of the cell vectors:
Ti: 0.006 0.560 0.488
Ti: 0.065 0.935 0.500
Ti: 0.198 0.391 0.285
Ti: 0.258 0.742 0.202
Ti: 0.391 0.198 0.785
Ti: 0.440 0.994 0.488
Ti: 0.560 0.006 0.988
Ti: 0.609 0.802 0.285
Ti: 0.742 0.258 0.702
Ti: 0.802 0.609 0.785
Ti: 0.935 0.065 0.000
Ti: 0.994 0.440 0.988
Ga: 0.192 0.808 0.790
Ga: 0.808 0.192 0.290
Bi: 0.111 0.296 0.664
Bi: 0.296 0.111 0.164
Bi: 0.426 0.574 0.961
Bi: 0.574 0.426 0.461
Bi: 0.704 0.889 0.664
Bi: 0.889 0.704 0.164

[5]
PrDy12Tm6 | GGA-PBE | optimized geometry

The calculation puts the energy relative to the lowest polymorph listed for this composition at 0.000 eV per atom. As for the formation energy: 0.1561 eV per atom.

abc: 8.482 8.482 8.482
angles: 88.41 88.41 88.41
Sites, in units of the cell vectors:
Pr: 0.000 0.000 0.000
Dy: 0.010 0.207 0.358
Dy: 0.207 0.358 0.010
Dy: 0.225 0.457 0.566
Dy: 0.358 0.010 0.207
Dy: 0.434 0.775 0.543
Dy: 0.457 0.566 0.225
Dy: 0.543 0.434 0.775
Dy: 0.566 0.225 0.457
Dy: 0.642 0.990 0.793
Dy: 0.775 0.543 0.434
Dy: 0.793 0.642 0.990
Dy: 0.990 0.793 0.642
Tm: 0.094 0.689 0.257
Tm: 0.257 0.094 0.689
Tm: 0.311 0.743 0.906
Tm: 0.689 0.257 0.094
Tm: 0.743 0.906 0.311
Tm: 0.906 0.311 0.743

[6]
HgAu4Se | GGA-PBE | optimized geometry

The value obtained for the uncorrected energy is -2.612 eV per atom.

abc: 5.589 5.589 5.589
angles: 60.00 60.00 60.00
Sites, in units of the cell vectors:
Hg: 0.000 0.000 0.000
Au: 0.375 0.375 0.375
Au: 0.375 0.375 0.876
Au: 0.375 0.876 0.375
Au: 0.876 0.375 0.375
Se: 0.750 0.750 0.750

[7]
TbY2Cu | GGA-PBE | optimized geometry

The calculation puts the energy relative to the lowest polymorph listed for this composition at 0.134 eV per atom. As for the formation energy: 0.0273 eV per atom.

abc: 9.891 9.891 9.891
angles: 21.47 21.47 21.47
Sites, in units of the cell vectors:
Tb: 0.000 0.000 0.000
Y: 0.566 0.566 0.566
Y: 0.766 0.766 0.766
Cu: 0.165 0.165 0.165

[8]
PmPr6Dy12 | GGA-PBE | optimized geometry

The calculation puts the energy relative to the lowest polymorph listed for this composition at 0.242 eV per atom. As for the formation energy: 0.4550 eV per atom.

abc: 8.919 8.919 8.919
angles: 100.42 100.42 100.42
Sites, in units of the cell vectors:
Pm: 0.000 0.000 0.000
Pr: 0.224 0.224 0.734
Pr: 0.224 0.734 0.224
Pr: 0.266 0.776 0.776
Pr: 0.734 0.224 0.224
Pr: 0.776 0.266 0.776
Pr: 0.776 0.776 0.266
Dy: 0.115 0.500 0.885
Dy: 0.115 0.885 0.500
Dy: 0.163 0.445 0.445
Dy: 0.445 0.163 0.445
Dy: 0.445 0.445 0.163
Dy: 0.500 0.115 0.885
Dy: 0.500 0.885 0.115
Dy: 0.555 0.555 0.837
Dy: 0.555 0.837 0.555
Dy: 0.837 0.555 0.555
Dy: 0.885 0.115 0.500
Dy: 0.885 0.500 0.115

[9]
K2BaTeO | GGA-PBE | optimized geometry

The value obtained for the uncorrected energy is -3.944 eV per atom.

abc: 5.372 5.372 5.317
angles: 90.00 90.00 90.00
Sites, in units of the cell vectors:
K: 0.000 0.500 0.000
K: 0.500 0.000 0.000
Ba: 0.000 0.000 0.500
Te: 0.500 0.500 0.500
O: 0.000 0.000 0.000

[10]
Li2CaOsPt | GGA-PBE | optimized geometry

As for the formation energy: 1.4009 eV per atom.

abc: 4.289 4.289 4.727
angles: 90.00 90.00 90.00
Sites, in units of the cell vectors:
Li: 0.000 0.500 0.000
Li: 0.500 0.000 0.000
Ca: 0.000 0.000 0.000
Os: 0.000 0.000 0.500
Pt: 0.500 0.500 0.500

[11]
CePm3Pr2As6 | GGA-PBE | optimized geometry

As for the formation energy: -1.5066 eV per atom.

abc: 9.512 9.512 8.518
angles: 102.90 102.90 25.88
Sites, in units of the cell vectors:
Ce: 0.000 0.000 0.000
Pm: 0.000 0.000 0.500
Pm: 0.332 0.332 0.167
Pm: 0.668 0.668 0.833
Pr: 0.333 0.333 0.666
Pr: 0.667 0.667 0.334
As: 0.165 0.165 0.079
As: 0.166 0.166 0.586
As: 0.499 0.499 0.246
As: 0.501 0.501 0.754
As: 0.834 0.834 0.414
As: 0.835 0.835 0.921

[12]
NaGe3Ir3 | GGA-PBE | optimized geometry

The calculation puts the energy relative to the lowest polymorph listed for this composition at 0.112 eV per atom. As for the formation energy: 0.0175 eV per atom.

abc: 6.805 6.805 6.805
angles: 90.00 90.00 90.00
Sites, in units of the cell vectors:
Na: 0.000 0.000 0.000
Na: 0.500 0.500 0.500
Ge: 0.000 0.250 0.500
Ge: 0.000 0.750 0.500
Ge: 0.250 0.500 0.000
Ge: 0.500 0.000 0.250
Ge: 0.500 0.000 0.750
Ge: 0.750 0.500 0.000
Ir: 0.000 0.500 0.250
Ir: 0.000 0.500 0.750
Ir: 0.250 0.000 0.500
Ir: 0.500 0.250 0.000
Ir: 0.500 0.750 0.000
Ir: 0.750 0.000 0.500

[13]
Ac3Pd4Au2 | GGA-PBE | optimized geometry

The calculation puts the energy relative to the lowest polymorph listed for this composition at 0.022 eV per atom. As for the formation energy: -0.7882 eV per atom.

abc: 4.705 4.705 23.801
angles: 90.00 90.00 120.00
Sites, in units of the cell vectors:
Ac: 0.000 0.000 0.000
Ac: 0.000 0.000 0.161
Ac: 0.000 0.000 0.331
Ac: 0.000 0.000 0.493
Ac: 0.000 0.000 0.663
Ac: 0.000 0.000 0.824
Pd: 0.333 0.667 0.079
Pd: 0.333 0.667 0.244
Pd: 0.333 0.667 0.412
Pd: 0.333 0.667 0.579
Pd: 0.333 0.667 0.745
Pd: 0.667 0.333 0.078
Pd: 0.667 0.333 0.412
Pd: 0.667 0.333 0.745
Au: 0.333 0.667 0.911
Au: 0.667 0.333 0.246
Au: 0.667 0.333 0.578
Au: 0.667 0.333 0.913

[14]
Y2ThCu | GGA-PBE | optimized geometry

The calculation puts the energy relative to the lowest polymorph listed for this composition at 0.326 eV per atom. As for the formation energy: 0.2409 eV per atom.

abc: 11.166 11.166 11.166
angles: 17.81 17.81 17.81
Sites, in units of the cell vectors:
Y: 0.104 0.104 0.104
Y: 0.896 0.896 0.896
Th: 0.000 0.000 0.000
Cu: 0.500 0.500 0.500

[15]
SrCaMg2Co | GGA-PBE | optimized geometry

As for the formation energy: 0.1058 eV per atom.

abc: 5.172 5.172 5.162
angles: 90.00 90.00 90.00
Sites, in units of the cell vectors:
Sr: 0.000 0.000 0.000
Ca: 0.500 0.500 0.000
Mg: 0.000 0.500 0.500
Mg: 0.500 0.000 0.500
Co: 0.500 0.500 0.500

[16]
Hf2MgMn | GGA-PBE | optimized geometry

As for the formation energy: 0.5198 eV per atom.

abc: 6.000 6.000 6.000
angles: 102.97 102.97 123.45
Sites, in units of the cell vectors:
Hf: 0.071 0.625 0.946
Hf: 0.375 0.321 0.446
Hf: 0.679 0.125 0.054
Hf: 0.875 0.929 0.554
Mg: 0.250 0.750 0.500
Mg: 0.500 0.500 0.000
Mn: 0.000 0.000 0.000
Mn: 0.750 0.250 0.500

[17]
BeAl2Hg | GGA-PBE | optimized geometry

The calculation puts the energy relative to the lowest polymorph listed for this composition at 0.019 eV per atom. As for the formation energy: 0.2835 eV per atom.

abc: 3.067 3.721 6.039
angles: 90.00 104.30 90.00
Sites, in units of the cell vectors:
Be: 0.000 0.000 0.000
Al: 0.436 0.500 0.872
Al: 0.800 0.000 0.592
Hg: 0.167 0.500 0.317

[18]
CaSmErTm | GGA-PBE | optimized geometry

As for the formation energy: 0.1539 eV per atom.

abc: 5.731 5.731 5.731
angles: 60.00 60.00 60.00
Sites, in units of the cell vectors:
Ca: 0.000 0.000 0.000
Sm: 0.750 0.750 0.750
Er: 0.250 0.250 0.250
Tm: 0.500 0.500 0.500

[19]
NaLaCl4 | GGA-PBE | optimized geometry

The calculation puts the energy relative to the lowest polymorph listed for this composition at 0.000 eV per atom.

abc: 8.165 8.165 6.923
angles: 110.92 110.92 112.59
Sites, in units of the cell vectors:
Na: 0.081 0.919 0.750
Na: 0.919 0.081 0.250
La: 0.369 0.631 0.250
La: 0.631 0.369 0.750
Cl: 0.060 0.634 0.877
Cl: 0.246 0.311 0.757
Cl: 0.311 0.246 0.257
Cl: 0.366 0.940 0.623
Cl: 0.634 0.060 0.377
Cl: 0.689 0.754 0.743
Cl: 0.754 0.689 0.243
Cl: 0.940 0.366 0.123

[20]
NdTmIrRu | GGA-PBE | optimized geometry

As for the formation energy: -0.4829 eV per atom.

abc: 4.879 4.879 4.879
angles: 60.00 60.00 60.00
Sites, in units of the cell vectors:
Nd: 0.000 0.000 0.000
Tm: 0.500 0.500 0.500
Ir: 0.750 0.750 0.750
Ru: 0.250 0.250 0.250

| no. | size of the total moment (μB per formula unit) |
| --- | --- |
| 1 | 0.0 |
| 2 | 7.2 |
| 3 | 0.0 |
| 4 | 0.0 |
| 5 | 0.0 |
| 6 | 0.0 |
| 7 | 0.4 |
| 8 | 0.0 |
| 9 | 0.0 |
| 10 | 1.1 |
| 11 | 0.5 |
| 12 | 0.0 |
| 13 | 0.0 |
| 14 | 0.0 |
| 15 | 0.0 |
| 16 | 0.0 |
| 17 | 0.0 |
| 18 | 0.0 |
| 19 | 0.0 |
| 20 | 0.0 |